(1)
A plane-wave DFT calculation with GGA-PBE was carried out for a geometry-optimized RbSi3C structure.

Lattice parameters (Å, degrees): 5.708 5.708 5.708 90.00 90.00 90.00
Last column: magnetic moment on the atom in μB.
Fractional positions:
C (0.500, 0.500, 0.500)  0.88
Si (0.000, 0.500, 0.000)  -0.22
Si (0.500, 0.000, 0.000)  -0.23
Si (0.000, 0.000, 0.500)  -0.14
Rb (0.000, 0.000, 0.000)  -0.10

spin magnetization: 0.045 μB/atom
energy relative to the lowest polymorph listed for this composition: 2.161 eV/atom

(2)
A plane-wave DFT calculation with GGA-PBE was carried out for a geometry-optimized ReSi2Se structure.

Lattice parameters (Å, degrees): 5.690 5.690 6.777 65.18 65.18 90.00
Fractional positions:
Se (0.250, 0.750, 0.500)
Se (0.500, 0.500, 0.000)
Si (0.096, 0.625, 0.250)
Si (0.875, 0.904, 0.750)
Si (0.654, 0.125, 0.250)
Si (0.375, 0.346, 0.750)
Re (0.750, 0.250, 0.500)
Re (0.000, 0.000, 0.000)

total energy: -0.2275 hartree per atom
spin magnetization: 0.000 μB/atom

(3)
A plane-wave DFT calculation with GGA-PBE was carried out for a geometry-optimized CrInReP structure.

Lattice parameters (Å, degrees): 4.345 4.356 4.390 112.65 100.33 106.67
Last column: magnetic moment on the atom in μB.
Fractional positions:
In (0.934, 0.730, 0.195)  0.00
Re (0.609, 0.931, 0.705)  -0.38
Cr (0.242, 0.255, 0.949)  1.44
P (0.503, 0.314, 0.481)  -0.01

spin magnetization: 0.278 μB/atom
energy relative to the lowest polymorph listed for this composition: 0.327 eV/atom
energy of formation from the pure elements: 1.39 eV per formula unit

(4)
A plane-wave DFT calculation with GGA-PBE was carried out for a geometry-optimized V2TcSnSb structure.

Lattice parameters (Å, degrees): 4.973 4.933 4.973 90.00 90.00 90.00
Last column: magnetic moment on the atom in μB.
Fractional positions:
Sn (0.000, 0.000, 0.000)  -0.01
V (0.500, 0.000, 0.000)  2.25
V (0.000, 0.000, 0.500)  2.55
Sb (0.500, 0.500, 0.500)  -0.11
Tc (0.000, 0.500, 0.000)  0.57

total energy: -0.2161 hartree per atom
spin magnetization: 1.216 μB/atom

(5)
A plane-wave DFT calculation with GGA-PBE was carried out for a geometry-optimized La5Pr2NdSm structure.

Lattice parameters (Å, degrees): 9.035 9.035 10.249 116.15 116.15 90.00
Fractional positions:
Pr (0.119, 0.381, 0.000)
Pr (0.619, 0.119, 0.000)
Pr (0.381, 0.881, 0.000)
Pr (0.881, 0.619, 0.000)
La (0.436, 0.343, 0.279)
La (0.500, 0.500, 0.000)
La (0.343, 0.843, 0.279)
La (0.000, 0.000, 0.000)
La (0.936, 0.436, 0.279)
La (0.064, 0.564, 0.721)
La (0.157, 0.064, 0.721)
La (0.843, 0.936, 0.279)
La (0.657, 0.157, 0.721)
La (0.564, 0.657, 0.721)
Sm (0.750, 0.250, 0.500)
Sm (0.250, 0.750, 0.500)
Nd (0.250, 0.250, 0.500)
Nd (0.750, 0.750, 0.500)

spin magnetization: 0.000 μB/atom
energy of formation from the pure elements: 2.13 eV per formula unit

(6)
A plane-wave DFT calculation with GGA-PBE was carried out for a geometry-optimized Ce6PtC2Cl3 structure.

Lattice parameters (Å, degrees): 3.774 8.420 9.266 107.99 101.75 90.00
Last column: magnetic moment on the atom in μB.
Fractional positions:
Ce (0.973, 0.743, 0.946)  0.57
Ce (0.672, 0.138, 0.344)  0.69
Ce (0.328, 0.862, 0.656)  0.69
Ce (0.680, 0.557, 0.360)  0.64
Ce (0.027, 0.257, 0.054)  0.57
Ce (0.320, 0.443, 0.640)  0.64
Cl (0.500, 0.500, 0.000)  -0.01
Cl (0.839, 0.168, 0.678)  -0.01
Cl (0.161, 0.832, 0.322)  -0.01
C (0.827, 0.660, 0.654)  -0.04
C (0.173, 0.340, 0.346)  -0.04
Pt (0.500, 0.000, 0.000)  0.00

total energy: -0.2386 hartree per atom
spin magnetization: 0.375 μB/atom

(7)
A plane-wave DFT calculation with GGA-PBE was carried out for a geometry-optimized BaNa2Pb2Au2 structure.

Lattice parameters (Å, degrees): 4.934 4.934 10.584 76.52 76.52 60.00
Fractional positions:
Pb (0.251, 0.251, 0.246)
Pb (0.749, 0.749, 0.754)
Au (0.410, 0.410, 0.769)
Au (0.590, 0.590, 0.231)
Ba (0.000, 0.000, 0.000)
Na (0.136, 0.136, 0.592)
Na (0.864, 0.864, 0.408)

spin magnetization: 0.000 μB/atom
energy of formation from the pure elements: -2.51 eV per formula unit

(8)
A plane-wave DFT calculation with GGA-PBE was carried out for a geometry-optimized HgP2PtO8 structure.

Lattice parameters (Å, degrees): 4.699 4.699 8.017 72.96 72.96 60.00
Fractional positions:
O (0.966, 0.598, 0.166)
O (0.598, 0.269, 0.166)
O (0.269, 0.966, 0.166)
O (0.402, 0.731, 0.834)
O (0.731, 0.034, 0.834)
O (0.812, 0.812, 0.565)
O (0.188, 0.188, 0.435)
O (0.034, 0.402, 0.834)
P (0.743, 0.743, 0.771)
P (0.257, 0.257, 0.229)
Hg (0.500, 0.500, 0.500)
Pt (0.000, 0.000, 0.000)

total energy: -0.2228 hartree per atom
spin magnetization: 0.000 μB/atom

(9)
A plane-wave DFT calculation with GGA-PBE was carried out for a geometry-optimized Mg12H5Pd3 structure.

Lattice parameters (Å, degrees): 11.938 11.938 11.938 109.47 109.47 109.47
Fractional positions:
Mg (0.120, 0.711, 0.525)
Mg (0.092, 0.905, 0.380)
Mg (0.525, 0.314, 0.905)
Mg (0.405, 0.380, 0.592)
Mg (0.314, 0.789, 0.408)
Mg (0.711, 0.120, 0.025)
Mg (0.905, 0.092, 0.880)
Mg (0.211, 0.525, 0.620)
Mg (0.095, 0.908, 0.120)
Mg (0.620, 0.595, 0.908)
Mg (0.908, 0.814, 0.789)
Mg (0.908, 0.095, 0.620)
Mg (0.814, 0.908, 0.289)
Mg (0.186, 0.092, 0.711)
Mg (0.686, 0.475, 0.595)
Mg (0.880, 0.289, 0.475)
Mg (0.405, 0.025, 0.314)
Mg (0.120, 0.408, 0.095)
Mg (0.211, 0.686, 0.092)
Mg (0.475, 0.686, 0.095)
Mg (0.711, 0.592, 0.186)
Mg (0.289, 0.880, 0.975)
Mg (0.314, 0.525, 0.405)
Mg (0.380, 0.405, 0.092)
Mg (0.592, 0.711, 0.686)
Mg (0.880, 0.592, 0.905)
Mg (0.525, 0.211, 0.120)
Mg (0.595, 0.975, 0.686)
Mg (0.905, 0.814, 0.525)
Mg (0.789, 0.314, 0.908)
Mg (0.092, 0.186, 0.211)
Mg (0.408, 0.120, 0.595)
Mg (0.814, 0.905, 0.025)
Mg (0.620, 0.025, 0.211)
Mg (0.595, 0.620, 0.408)
Mg (0.025, 0.620, 0.711)
Mg (0.475, 0.789, 0.880)
Mg (0.789, 0.475, 0.380)
Mg (0.592, 0.880, 0.405)
Mg (0.289, 0.408, 0.814)
Mg (0.025, 0.405, 0.814)
Mg (0.975, 0.595, 0.186)
Mg (0.380, 0.975, 0.789)
Mg (0.095, 0.186, 0.475)
Mg (0.186, 0.095, 0.975)
Mg (0.686, 0.211, 0.592)
Mg (0.408, 0.289, 0.314)
Mg (0.975, 0.380, 0.289)
Pd (0.875, 0.750, 0.125)
Pd (0.125, 0.250, 0.875)
Pd (0.625, 0.375, 0.750)
Pd (0.625, 0.250, 0.375)
Pd (0.125, 0.875, 0.750)
Pd (0.750, 0.875, 0.625)
Pd (0.750, 0.375, 0.125)
Pd (0.250, 0.625, 0.875)
Pd (0.375, 0.750, 0.625)
Pd (0.875, 0.125, 0.250)
Pd (0.375, 0.625, 0.250)
Pd (0.250, 0.125, 0.375)
H (0.375, 0.250, 0.125)
H (0.625, 0.750, 0.875)
H (0.000, 0.000, 0.000)
H (0.250, 0.375, 0.625)
H (0.000, 0.500, 0.000)
H (0.875, 0.625, 0.750)
H (0.500, 0.500, 0.000)
H (0.750, 0.125, 0.875)
H (0.500, 0.000, 0.000)
H (0.000, 0.000, 0.500)
H (0.625, 0.875, 0.250)
H (0.500, 0.500, 0.500)
H (0.125, 0.750, 0.375)
H (0.750, 0.625, 0.375)
H (0.875, 0.250, 0.625)
H (0.250, 0.875, 0.125)
H (0.000, 0.500, 0.500)
H (0.375, 0.125, 0.750)
H (0.125, 0.375, 0.250)
H (0.500, 0.000, 0.500)

total energy: -0.1018 hartree per atom
spin magnetization: 0.000 μB/atom

(10)
A plane-wave DFT calculation with GGA-PBE was carried out for a geometry-optimized Ca3Pm4DySe8 structure.

Lattice parameters (Å, degrees): 8.309 8.402 8.310 119.63 120.00 90.00
Fractional positions:
Se (0.749, 0.742, 0.996)
Se (0.748, 0.745, 0.497)
Se (0.252, 0.255, 0.503)
Se (0.246, 0.742, 0.996)
Se (0.251, 0.258, 0.004)
Se (0.754, 0.258, 0.507)
Se (0.754, 0.258, 0.004)
Se (0.246, 0.742, 0.493)
Ca (0.000, 0.500, 0.500)
Ca (0.500, 0.500, 0.000)
Ca (0.500, 0.500, 0.500)
Pm (0.500, 0.000, 0.000)
Pm (0.000, 0.000, 0.500)
Pm (0.000, 0.000, 0.000)
Pm (0.500, 0.000, 0.500)
Dy (0.000, 0.500, 0.000)

total energy: -0.2010 hartree per atom
spin magnetization: 0.000 μB/atom

(11)
A plane-wave DFT calculation with GGA-PBE was carried out for a geometry-optimized Ba2SnAu structure.

Lattice parameters (Å, degrees): 4.459 4.459 11.213 78.53 78.53 60.00
Fractional positions:
Ba (0.106, 0.106, 0.682)
Ba (0.894, 0.894, 0.318)
Sn (0.000, 0.000, 0.000)
Au (0.500, 0.500, 0.500)

spin magnetization: 0.000 μB/atom
energy of formation from the pure elements: -0.61 eV per formula unit

(12)
A plane-wave DFT calculation with GGA-PBE was carried out for a geometry-optimized Sr2YI structure.

Lattice parameters (Å, degrees): 6.228 6.228 6.228 60.00 60.00 60.00
Fractional positions:
Sr (0.250, 0.250, 0.250)
Sr (0.750, 0.750, 0.750)
Y (0.000, 0.000, 0.000)
I (0.500, 0.500, 0.500)

spin magnetization: 0.000 μB/atom
energy relative to the lowest polymorph listed for this composition: 0.245 eV/atom

(13)
A plane-wave DFT calculation with GGA-PBE was carried out for a geometry-optimized CdRhW2 structure.

Lattice parameters (Å, degrees): 4.913 4.913 5.090 80.81 80.81 32.90
Fractional positions:
Rh (0.738, 0.738, 0.754)
Cd (0.495, 0.495, 0.510)
W (0.257, 0.257, 0.234)
W (0.011, 0.011, 0.002)

spin magnetization: 0.000 μB/atom
energy of formation from the pure elements: 1.38 eV per formula unit

(14)
A plane-wave DFT calculation with GGA-PBE was carried out for a geometry-optimized TbDy2PuAs4 structure.

Lattice parameters (Å, degrees): 4.134 7.140 7.141 70.53 90.00 90.00
Last column: magnetic moment on the atom in μB.
Fractional positions:
Pu (0.500, 0.500, 0.000)  5.01
As (0.000, 0.749, 0.752)  -0.07
As (0.500, 0.250, 0.751)  -0.04
As (0.000, 0.251, 0.248)  -0.07
As (0.500, 0.750, 0.249)  -0.04
Tb (0.000, 0.500, 0.500)  0.01
Dy (0.500, 0.000, 0.500)  -0.02
Dy (0.000, 0.000, 0.000)  0.01

spin magnetization: 0.617 μB/atom
energy of formation from the pure elements: -11.20 eV per formula unit

(15)
A plane-wave DFT calculation with GGA-PBE was carried out for a geometry-optimized InSn2Br6 structure.

Lattice parameters (Å, degrees): 5.595 7.650 9.697 71.27 73.23 68.55
Fractional positions:
Sn (0.821, 0.239, 0.119)
Sn (0.179, 0.761, 0.881)
In (0.000, 0.500, 0.500)
Br (0.352, 0.684, 0.611)
Br (0.648, 0.316, 0.389)
Br (0.682, 0.709, 0.927)
Br (0.034, 0.152, 0.780)
Br (0.318, 0.291, 0.073)
Br (0.966, 0.848, 0.220)

total energy: -0.1097 hartree per atom
spin magnetization: 0.000 μB/atom

(16)
A plane-wave DFT calculation with GGA-PBE was carried out for a geometry-optimized Cu3As4 structure.

Lattice parameters (Å, degrees): 10.832 10.832 10.832 165.65 123.38 58.73
Fractional positions:
Cu (0.312, 0.312, 0.000)
Cu (0.309, 0.433, 0.876)
Cu (0.691, 0.567, 0.124)
Cu (0.443, 0.567, 0.876)
Cu (0.688, 0.688, 0.000)
Cu (0.557, 0.433, 0.124)
As (0.111, 0.831, 0.281)
As (0.889, 0.169, 0.719)
As (0.198, 0.698, 0.500)
As (0.450, 0.169, 0.281)
As (0.794, 0.000, 0.794)
As (0.802, 0.302, 0.500)
As (0.206, 0.000, 0.206)
As (0.550, 0.831, 0.719)

spin magnetization: 0.000 μB/atom
energy relative to the lowest polymorph listed for this composition: 0.052 eV/atom
energy of formation from the pure elements: 1.59 eV per formula unit

(17)
A plane-wave DFT calculation with GGA-PBE was carried out for a geometry-optimized Zr2TlGa2 structure.

Lattice parameters (Å, degrees): 8.088 8.088 3.300 90.00 90.00 90.00
Fractional positions:
Zr (0.868, 0.632, 0.000)
Zr (0.368, 0.868, 0.000)
Zr (0.632, 0.132, 0.000)
Zr (0.132, 0.368, 0.000)
Ga (0.170, 0.670, 0.500)
Ga (0.670, 0.830, 0.500)
Ga (0.330, 0.170, 0.500)
Ga (0.830, 0.330, 0.500)
Tl (0.500, 0.500, 0.000)
Tl (0.000, 0.000, 0.000)

spin magnetization: 0.000 μB/atom
energy relative to the lowest polymorph listed for this composition: 0.146 eV/atom
energy of formation from the pure elements: -0.91 eV per formula unit

(18)
A plane-wave DFT calculation with GGA-PBE was carried out for a geometry-optimized Nd6Sm7Er16 structure.

Lattice parameters (Å, degrees): 11.200 11.200 11.200 60.00 60.00 60.00
Fractional positions:
Er (0.650, 0.050, 0.650)
Er (0.129, 0.129, 0.612)
Er (0.350, 0.950, 0.350)
Er (0.129, 0.129, 0.129)
Er (0.129, 0.612, 0.129)
Er (0.612, 0.129, 0.129)
Er (0.650, 0.650, 0.650)
Er (0.388, 0.871, 0.871)
Er (0.950, 0.350, 0.350)
Er (0.871, 0.388, 0.871)
Er (0.350, 0.350, 0.350)
Er (0.350, 0.350, 0.950)
Er (0.050, 0.650, 0.650)
Er (0.871, 0.871, 0.388)
Er (0.871, 0.871, 0.871)
Er (0.650, 0.650, 0.050)
Nd (0.264, 0.736, 0.736)
Nd (0.264, 0.264, 0.736)
Nd (0.264, 0.736, 0.264)
Nd (0.736, 0.736, 0.264)
Nd (0.736, 0.264, 0.264)
Nd (0.736, 0.264, 0.736)
Sm (0.000, 0.500, 0.500)
Sm (0.000, 0.000, 0.500)
Sm (0.000, 0.000, 0.000)
Sm (0.000, 0.500, 0.000)
Sm (0.500, 0.500, 0.000)
Sm (0.500, 0.000, 0.500)
Sm (0.500, 0.000, 0.000)

spin magnetization: 0.000 μB/atom
energy of formation from the pure elements: 6.87 eV per formula unit

(19)
A plane-wave DFT calculation with GGA-PBE was carried out for a geometry-optimized CeMg2Sn structure.

Lattice parameters (Å, degrees): 4.751 6.239 7.046 90.00 90.00 90.00
Last column: magnetic moment on the atom in μB.
Fractional positions:
Mg (0.000, 0.739, 0.863)  0.00
Mg (0.000, 0.261, 0.863)  0.00
Mg (0.500, 0.761, 0.137)  0.00
Mg (0.500, 0.239, 0.137)  0.00
Ce (0.000, 0.000, 0.419)  0.90
Ce (0.500, 0.500, 0.581)  0.90
Sn (0.500, 0.000, 0.740)  -0.01
Sn (0.000, 0.500, 0.260)  -0.01

spin magnetization: 0.276 μB/atom
energy relative to the lowest polymorph listed for this composition: 0.068 eV/atom
energy of formation from the pure elements: -1.07 eV per formula unit